[1]
This record from the Alexandria database describes crystalline Tb5SmHo3 at its relaxed geometry. The functional is GGA-PBE.

The space group is C2/m (No. 12) and the conventional cell measures 16.789, 8.002 and 12.243 Å, with angles of 90.00, 130.84 and 90.00 degrees. The inequivalent atoms are Tb at (0.000, 0.180, 0.000), Tb at (0.064, 0.295, 0.779), Tb at (0.126, 0.500, 0.568), Tb at (0.200, 0.000, 0.069), Sm at (0.236, 0.500, 0.129), Ho at (0.000, 0.000, 0.500), Ho at (0.000, 0.500, 0.000), Ho at (0.118, 0.000, 0.315) and Ho at (0.174, 0.500, 0.340).

Its calculated volume is 1244 Å³ per cell. The energy relative to the elements is 3.8 eV/f.u. Its energy above the lowest structure with this stoichiometry is 0.947 eV per formula unit. The value obtained for the mass density is 7.7 g cm⁻³. For the total energy, the calculation gives -151.29 eV per cell.

---

[2]
This record from the Alexandria database describes crystalline HPdRhPb2 at its relaxed geometry. The functional is GGA-PBE.

The space group is P2_1/m (No. 11) and the conventional cell measures 7.097, 3.335 and 8.230 Å, with angles of 90.00, 111.51 and 90.00 degrees. The inequivalent atoms are H at (0.100, 0.250, 0.233), Pd at (0.023, 0.250, 0.772), Rh at (0.350, 0.250, 0.370), Pb at (0.247, 0.750, 0.605) and Pb at (0.306, 0.750, 0.072).

Its calculated volume is 181 Å³ per cell. Its energy above the lowest structure with this stoichiometry is 0.000 eV per formula unit. The value obtained for the mass density is 11.4 g cm⁻³. For the total energy, the calculation gives -47.26 eV per cell.

---

[3]
This record from the Alexandria database describes crystalline PtBr3 at its relaxed geometry. The functional is GGA-PBE.

The space group is Pm-3m (No. 221) and the conventional cell measures 4.536, 4.536 and 4.536 Å, with angles of 90.00, 90.00 and 90.00 degrees. The inequivalent atoms are Pt at (0.000, 0.000, 0.000) and Br at (0.000, 0.500, 0.500).

Its calculated volume is 93 Å³ per cell. The formation energy without anion corrections is 4.23 eV/f.u. The value obtained for the mass density is 7.7 g cm⁻³. For the total energy, the calculation gives -6.83 eV per cell.

---

[4]
This record from the Alexandria database describes crystalline CsH6PdRu at its relaxed geometry. The functional is GGA-PBE.

The space group is C2 (No. 5) and the conventional cell measures 5.564, 7.047 and 6.423 Å, with angles of 90.00, 90.70 and 90.00 degrees. The inequivalent atoms are Cs at (0.000, 0.000, 0.000), H at (0.004, 0.452, 0.629), H at (0.247, 0.257, 0.331), H at (0.248, 0.751, 0.331), Pd at (0.000, 0.732, 0.500) and Ru at (0.000, 0.259, 0.500).

Its calculated volume is 252 Å³ per cell. The value obtained for the mass density is 4.6 g cm⁻³. For the total energy, the calculation gives -70.81 eV per cell.

---

[5]
This record from the Alexandria database describes crystalline ZnIr2Rh6 at its relaxed geometry. The functional is GGA-PBE.

The space group is Imm2 (No. 44) and the conventional cell measures 3.787, 5.322 and 13.860 Å, with angles of 90.00, 90.00 and 90.00 degrees. The inequivalent atoms are Zn at (0.000, 0.000, 0.000), Ir at (0.000, 0.500, 0.805), Ir at (0.000, 0.500, 0.998), Rh at (0.000, 0.257, 0.401), Rh at (0.000, 0.258, 0.598) and Rh at (0.000, 0.271, 0.216).

Its calculated volume is 279 Å³ per cell. The energy relative to the elements is 2.2 eV/f.u. Its energy above the lowest structure with this stoichiometry is 2.631 eV per formula unit. The value obtained for the mass density is 12.7 g cm⁻³. For the total energy, the calculation gives -121.74 eV per cell.

---

[6]
This record from the Alexandria database describes crystalline P2Pd8S at its relaxed geometry. The functional is GGA-PBE.

The space group is C2/m (No. 12) and the conventional cell measures 14.846, 4.000 and 5.915 Å, with angles of 90.00, 110.16 and 90.00 degrees. The inequivalent atoms are P at (0.177, 0.000, 0.189), Pd at (0.039, 0.000, 0.295), Pd at (0.091, 0.500, 0.964), Pd at (0.179, 0.500, 0.476), Pd at (0.202, 0.000, 0.826) and S at (0.000, 0.500, 0.500).

Its calculated volume is 330 Å³ per cell. Its energy above the lowest structure with this stoichiometry is 0.000 eV per formula unit. The formation energy without anion corrections is -3.59 eV/f.u. The value obtained for the mass density is 9.5 g cm⁻³. For the total energy, the calculation gives -120.16 eV per cell.

---

Look up the mass density of the sixth one. 9.5 g cm⁻³

---

Which of these has the highest mass density? ZnIr2Rh6

---

The lowest mass density belongs to which entry? CsH6PdRu